# 1
A plane-wave DFT calculation with PBE was carried out for a geometry-optimized Y2InHg2 structure.

Output
Total magnetic moment: 0.00 μB/f.u.
ΔE_f: -0.463 eV/atom
Polymorph energy (0 for the lowest one): 0.0 meV/atom
Density of states at the Fermi level: 7.80 states/eV per cell

Cell and atoms, written as POSCAR:
```
Y2InHg2
1.0
7.9597 0.0000 0.0000
0.0000 7.9597 0.0000
0.0000 0.0000 4.0970
Y Hg In
4 4 2
Direct
0.1699 0.6699 0.5000
0.6699 0.8301 0.5000
0.8301 0.3301 0.5000
0.3301 0.1699 0.5000
0.3694 0.8694 0.0000
0.8694 0.6306 0.0000
0.6306 0.1306 0.0000
0.1306 0.3694 0.0000
0.0000 0.0000 0.0000
0.5000 0.5000 0.0000
```



# 2
A plane-wave DFT calculation with PBE was carried out for a geometry-optimized La3Mg4Cu4 structure.

Output
Total magnetic moment: 0.00 μB/f.u.
ΔE_f: -0.153 eV/atom
Density of states at the Fermi level: 9.67 states/eV per cell

Cell and atoms, written as POSCAR:
```
La3Mg4Cu4
1.0
-2.2593 1.2490 3.0783
1.8432 -6.8818 4.1450
6.2354 6.2550 -0.5830
La Mg Cu
3 4 4
Direct
0.1135 0.1135 0.2270
0.8865 0.8865 0.7730
0.0000 0.5000 0.0000
0.3248 0.1365 0.6495
0.6752 0.4870 0.3505
0.6752 0.8635 0.3505
0.3248 0.5130 0.6495
0.2344 0.7344 0.4689
0.7656 0.2656 0.5311
0.5000 0.7989 0.0000
0.5000 0.2011 0.0000
```



# 3
A plane-wave DFT calculation with PBE was carried out for a geometry-optimized PrZn2CdAu2 structure.

Output
Total magnetic moment: 0.00 μB/f.u.
ΔE_f: -0.463 eV/atom
Density of states at the Fermi level: 3.19 states/eV per cell

Cell and atoms, written as POSCAR:
```
PrZn2CdAu2
1.0
-0.7331 -2.5760 3.7195
-0.3856 -1.8451 -4.1779
6.6346 -1.6928 0.1352
Pr Zn Cd Au
1 2 1 2
Direct
0.0000 0.0000 0.0000
0.6667 0.3333 0.7050
0.3333 0.6667 0.2950
0.0000 0.0000 0.5000
0.6667 0.3333 0.2708
0.3333 0.6667 0.7292
```



# 4
A plane-wave DFT calculation with PBE was carried out for a geometry-optimized RuRhBr structure.

Output
Total magnetic moment: 0.98 μB/f.u.
Polymorph energy (0 for the lowest one): 189.8 meV/atom
Density of states at the Fermi level: 3.78 states/eV per cell
ΔE_f (raw): 2.39 eV per formula unit

Cell and atoms, written as POSCAR:
```
RuRhBr
1.0
-2.3757 6.7545 1.3963
-4.6070 4.9029 1.8646
1.5880 1.0680 2.2281
Ru Rh Br
1 1 1
Direct
0.6703 0.6703 0.3297
0.3257 0.3257 0.6743
0.0040 0.0040 0.9960
```



# 5
A plane-wave DFT calculation with PBE was carried out for a geometry-optimized Ce2PrPaAs5 structure.

Output
Total magnetic moment: 1.64 μB/f.u.
ΔE_f: -0.617 eV/atom
Density of states at the Fermi level: 17.34 states/eV per cell

Cell and atoms, written as POSCAR:
```
Ce2PrPaAs5
1.0
5.1022 0.0000 0.0000
0.0000 5.1022 0.0000
0.0000 0.0000 11.0720
Ce Pr Pa As
2 1 1 5
Direct
0.5000 0.5000 0.2797
0.5000 0.5000 0.7203
0.0000 0.0000 0.0000
0.0000 0.0000 0.5000
0.0000 0.5000 0.5000
0.5000 0.0000 0.5000
0.0000 0.0000 0.7484
0.0000 0.0000 0.2516
0.5000 0.5000 0.0000
```